K2Bi2Pt | PBE-GGA | optimized geometry

Summary:
Crystal system: orthorhombic
Energy relative to the elements in eV/atom: -0.331
Energy in eV/f.u.: -17.7
Magnetization in μB/f.u.: 0.0

```
data_K2Bi2Pt
_space_group_name_H-M_alt 'I m m m'
_space_group_IT_number 71
_space_group_name_Hall '-I 2 2'
_cell_length_a 4.516
_cell_length_b 6.722
_cell_length_c 11.374
_cell_angle_alpha 90.00
_cell_angle_beta 90.00
_cell_angle_gamma 90.00
loop_
_atom_site_label
_atom_site_type_symbol
_atom_site_fract_x
_atom_site_fract_y
_atom_site_fract_z
K1 K 0.000 0.000 0.211
Bi1 Bi 0.000 0.243 0.500
Pt1 Pt 0.000 0.500 0.000
```

***

K2Bi4Pt3 | PBE-GGA | optimized geometry

Summary:
Crystal system: orthorhombic
Energy relative to the elements in eV/atom: -0.295
Energy in eV/f.u.: -38.5
Magnetization in μB/f.u.: 0.0

```
data_K2Bi4Pt3
_space_group_name_H-M_alt 'F m m m'
_space_group_IT_number 69
_space_group_name_Hall '-F 2 2'
_cell_length_a 6.377
_cell_length_b 11.148
_cell_length_c 14.601
_cell_angle_alpha 90.00
_cell_angle_beta 90.00
_cell_angle_gamma 90.00
loop_
_atom_site_label
_atom_site_type_symbol
_atom_site_fract_x
_atom_site_fract_y
_atom_site_fract_z
K1 K 0.000 0.000 0.117
Bi1 Bi 0.000 0.165 0.357
Pt1 Pt 0.000 0.000 0.500
Pt2 Pt 0.250 0.250 0.000
```